A plane-wave DFT calculation with PBE was carried out for a geometry-optimized RbSb2Au2 structure.

a b c (Å): 8.943 8.943 3.259
angles (deg): 90.00 90.00 90.00
Fractional coordinates of all 10 atoms:
Rb1 0.000 0.000 0.000
Rb2 0.500 0.500 0.000
Sb1 0.147 0.353 0.500
Sb2 0.353 0.853 0.500
Sb3 0.647 0.147 0.500
Sb4 0.853 0.647 0.500
Au1 0.145 0.645 0.000
Au2 0.355 0.145 0.000
Au3 0.645 0.855 0.000
Au4 0.855 0.355 0.000

## Properties
N(E_F), states/eV/cell: 4.80
Calculated volume, Å³/cell: 261
Space-group type: No. 127
Total DFT energy (no corrections), eV per formula unit: -15.99